Material: Ta2VTe6
Method: DFT, GGA-PBE
State: relaxed

Summary:
raw total energy: -6.069 eV per atom
offset from the most stable computed form: 0 meV/atom
E_form (uncorrected): -328 meV per atom

a = 18.2750 Å, b = 3.6752 Å, c = 8.5665 Å
α = 90.00°, β = 114.37°, γ = 90.00°
Space group C2/m (No. 12)
Inequivalent atoms, fractional coordinates:
Ta: 0.1593 0.0000 0.3213
V: 0.0000 0.5000 0.0000
Te: 0.0025 0.0000 0.7630
Te: 0.1624 0.5000 0.0787
Te: 0.1702 0.5000 0.5777

---

Material: TaVTe2
Method: DFT, GGA-PBE
State: relaxed

Summary:
raw total energy: -6.498 eV per atom
offset from the most stable computed form: 183 meV/atom
E_form (uncorrected): 316 meV per atom

a = 3.5361 Å, b = 3.5361 Å, c = 27.7562 Å
α = 90.00°, β = 90.00°, γ = 120.00°
Space group R-3m (No. 166, hexagonal axes)
Inequivalent atoms, fractional coordinates:
Ta: 0.0000 0.0000 0.0000
V: 0.0000 0.0000 0.5000
Te: 0.0000 0.0000 0.4021

---

Material: TaVTe2
Method: DFT, GGA-PBE
State: relaxed

Summary:
raw total energy: -6.681 eV per atom
offset from the most stable computed form: 0 meV/atom
E_form (uncorrected): 133 meV per atom

a = 6.8062 Å, b = 6.8062 Å, c = 6.8062 Å
α = 90.00°, β = 90.00°, γ = 90.00°
Space group Fm-3m (No. 225)
Inequivalent atoms, fractional coordinates:
Ta: 0.0000 0.0000 0.0000
V: 0.0000 0.0000 0.5000
Te: 0.2500 0.2500 0.2500

---

Material: TaV2Te
Method: DFT, GGA-PBE
State: relaxed

Summary:
raw total energy: -7.696 eV per atom
E_form (uncorrected): 612 meV per atom

a = 3.9852 Å, b = 3.9852 Å, c = 18.5182 Å
α = 90.00°, β = 90.00°, γ = 90.00°
Space group I-42d (No. 122)
Inequivalent atoms, fractional coordinates:
Ta: 0.0000 0.0000 0.0000
V: 0.2317 0.2500 0.6250
Te: 0.0000 0.0000 0.5000

---

Material: TaVTe
Method: DFT, GGA-PBE
State: relaxed

Summary:
raw total energy: -8.113 eV per atom
E_form (uncorrected): -76 meV per atom

a = 3.5701 Å, b = 19.3734 Å, c = 4.0936 Å
α = 90.00°, β = 90.00°, γ = 90.00°
Space group Cmcm (No. 63)
Inequivalent atoms, fractional coordinates:
Ta: 0.0000 0.0559 0.2500
V: 0.0000 0.4440 0.2500
Te: 0.0000 0.3343 0.7500

---

Material: Ta2VTe6
Method: DFT, GGA-PBE
State: relaxed

Summary:
raw total energy: -5.835 eV per atom
offset from the most stable computed form: 235 meV/atom
E_form (uncorrected): -93 meV per atom

a = 6.8609 Å, b = 7.0508 Å, c = 11.3193 Å
α = 90.00°, β = 123.80°, γ = 90.00°
Space group P2_1/c (No. 14)
Inequivalent atoms, fractional coordinates:
Ta: 0.2092 0.1494 0.2472
V: 0.0000 0.0000 0.5000
Te: 0.0885 0.1593 0.9246
Te: 0.2671 0.6699 0.9207
Te: 0.4144 0.0104 0.7553

---

Material: TaVTe4
Method: DFT, GGA-PBE
State: relaxed

Summary:
raw total energy: -5.689 eV per atom
offset from the most stable computed form: 227 meV/atom
E_form (uncorrected): -99 meV per atom

a = 17.1688 Å, b = 5.3992 Å, c = 9.0111 Å
α = 90.00°, β = 105.70°, γ = 90.00°
Space group C2/m (No. 12)
Inequivalent atoms, fractional coordinates:
Ta: 0.1993 0.0000 0.2863
V: 0.1053 0.0000 0.6818
Te: 0.0579 0.0000 0.3642
Te: 0.1322 0.5000 0.6909
Te: 0.1431 0.0000 0.9938
Te: 0.2387 0.5000 0.3643

---

Material: TaV3Te6
Method: DFT, GGA-PBE
State: relaxed

Summary:
raw total energy: -5.889 eV per atom
E_form (uncorrected): -83 meV per atom

a = 11.4464 Å, b = 3.6755 Å, c = 11.6949 Å
α = 90.00°, β = 110.00°, γ = 90.00°
Space group P2_1/m (No. 11)
Inequivalent atoms, fractional coordinates:
Ta: 0.0646 0.2500 0.1943
V: 0.1090 0.2500 0.5595
V: 0.3292 0.7500 0.9917
V: 0.4623 0.2500 0.3926
Te: 0.0956 0.7500 0.3896
Te: 0.1117 0.2500 0.9669
Te: 0.1679 0.7500 0.7454
Te: 0.2786 0.7500 0.2191
Te: 0.3643 0.2500 0.5696
Te: 0.4924 0.2500 0.1302

---

Material: TaVTe6
Method: DFT, GGA-PBE
State: relaxed

Summary:
raw total energy: -5.074 eV per atom
offset from the most stable computed form: 81 meV/atom
E_form (uncorrected): -96 meV per atom

a = 6.4237 Å, b = 6.7688 Å, c = 6.9417 Å
α = 70.11°, β = 63.19°, γ = 62.76°
Space group P-1 (No. 2)
Inequivalent atoms, fractional coordinates:
Ta: 0.0000 0.0000 0.0000
V: 0.5000 0.5000 0.5000
Te: 0.0430 0.7491 0.7408
Te: 0.3067 0.6036 0.1841
Te: 0.4023 0.1156 0.6808

---

Material: TaVTe4
Method: DFT, GGA-PBE
State: relaxed

Summary:
raw total energy: -5.916 eV per atom
offset from the most stable computed form: 0 meV/atom
E_form (uncorrected): -327 meV per atom

a = 6.3951 Å, b = 3.6700 Å, c = 7.6588 Å
α = 90.00°, β = 105.74°, γ = 90.00°
Space group P2/m (No. 10)
Inequivalent atoms, fractional coordinates:
Ta: 0.0000 0.0000 0.0000
V: 0.5000 0.5000 0.0000
Te: 0.2534 0.5000 0.2437
Te: 0.2621 0.0000 0.7622

---

Material: TaV2Te
Method: DFT, GGA-PBE
State: relaxed

Summary:
raw total energy: -8.269 eV per atom
E_form (uncorrected): 39 meV per atom

a = 3.4067 Å, b = 3.4067 Å, c = 5.7784 Å
α = 90.00°, β = 90.00°, γ = 90.00°
Space group P4/mmm (No. 123)
Inequivalent atoms, fractional coordinates:
Ta: 0.0000 0.0000 0.0000
V: 0.5000 0.5000 0.2403
Te: 0.0000 0.0000 0.5000

---

Material: TaVTe6
Method: DFT, GGA-PBE
State: relaxed

Summary:
raw total energy: -5.154 eV per atom
offset from the most stable computed form: 0 meV/atom
E_form (uncorrected): -177 meV per atom

a = 6.2982 Å, b = 12.6975 Å, c = 5.9693 Å
α = 90.00°, β = 90.37°, γ = 90.00°
Space group C2/m (No. 12)
Inequivalent atoms, fractional coordinates:
Ta: 0.0000 0.0000 0.0000
V: 0.0000 0.0000 0.5000
Te: 0.1397 0.5000 0.2589
Te: 0.1970 0.1526 0.2618